(1)
Compound: RbYBr2F
Source: the Alexandria database
Functional: PBE
Structure: optimized geometry

**Calculated volume**: 30.4 Å³ per atom
**Electronic total energy**: -0.170 Ha/atom
**Uncorrected formation energy**: -2.103 eV per atom

a = 5.8588 Å, b = 5.8588 Å, c = 4.4317 Å
α = 90.00°, β = 90.00°, γ = 90.00°
With the nearest neighbours (Å) after each atom.
Space group P4/mmm (No. 123)
One atom of each set of equivalent atoms:
Rb 0.0000 0.0000 0.0000 x1  8 Br 3.67
Y 0.5000 0.5000 0.5000 x1  2 F 2.22
Br 0.0000 0.5000 0.5000 x2  2 Y 2.93
F 0.5000 0.5000 0.0000 x1  2 Y 2.22

***

(2)
Compound: Rb2YBr6F
Source: the Alexandria database
Functional: PBE
Structure: optimized geometry

**Calculated volume**: 36.7 Å³ per atom
**Electronic total energy**: -0.127 Ha/atom
**Uncorrected formation energy**: -1.412 eV per atom

a = 8.5658 Å, b = 8.5658 Å, c = 10.0079 Å
α = 90.00°, β = 90.00°, γ = 90.00°
With the nearest neighbours (Å) after each atom.
Space group I4/mmm (No. 139)
One atom of each set of equivalent atoms:
Rb 0.0000 0.5000 0.2500 x4  12 Br 3.94-4.30
Y 0.0000 0.0000 0.0000 x2  6 Br 2.76-2.89
Br 0.0000 0.0000 0.2884 x4  1 F 2.12
Br 0.2276 0.2276 0.0000 x8  1 Y 2.76
F 0.0000 0.0000 0.5000 x2  2 Br 2.12

***

(3)
Compound: Rb2YBrF6
Source: the Alexandria database
Functional: PBE
Structure: optimized geometry

**Calculated volume**: 22.7 Å³ per atom
**Electronic total energy**: -0.176 Ha/atom
**Uncorrected formation energy**: -2.663 eV per atom

a = 6.5341 Å, b = 6.5341 Å, c = 10.6177 Å
α = 90.00°, β = 90.00°, γ = 90.00°
With the nearest neighbours (Å) after each atom.
Space group I4/mmm (No. 139)
One atom of each set of equivalent atoms:
Rb 0.0000 0.5000 0.2500 x4  12 F 3.30-3.52
Y 0.0000 0.0000 0.0000 x2  6 F 2.17-2.18
Br 0.0000 0.0000 0.5000 x2  4 F 2.44
F 0.0000 0.0000 0.2040 x4  1 Y 2.17
F 0.2361 0.2361 0.0000 x8  1 Y 2.18, 1 Br 2.44

***

(4)
Compound: RbY2Br2F5
Source: the Alexandria database
Functional: PBE
Structure: optimized geometry

**Calculated volume**: 18.6 Å³ per atom
**Electronic total energy**: -0.212 Ha/atom
**Uncorrected formation energy**: -3.116 eV per atom

a = 10.2946 Å, b = 10.2946 Å, c = 3.5140 Å
α = 90.00°, β = 90.00°, γ = 90.00°
With the nearest neighbours (Å) after each atom.
Space group P4/mbm (No. 127)
One atom of each set of equivalent atoms:
Rb 0.0000 0.0000 0.0000 x2  8 F 3.15, 2 Rb 3.51
Y 0.1262 0.3738 0.0000 x4  6 F 2.28-2.54
Br 0.1689 0.6689 0.0000 x4  3 Y 2.98-3.07, 10 F 3.02-3.23
F 0.0000 0.5000 0.5000 x2  4 Y 2.54, 4 F 2.78
F 0.0779 0.2415 0.5000 x8  2 Y 2.28

***

(5)
Compound: RbZnBrF2
Source: the Alexandria database
Functional: PBE
Structure: optimized geometry

**Calculated volume**: 33.4 Å³ per atom
**Electronic total energy**: -0.084 Ha/atom
**Uncorrected formation energy**: -0.742 eV per atom

a = 4.6232 Å, b = 4.6232 Å, c = 7.8089 Å
α = 90.00°, β = 90.00°, γ = 90.00°
With the nearest neighbours (Å) after each atom.
Space group P4/mmm (No. 123)
One atom of each set of equivalent atoms:
Rb 0.0000 0.0000 0.0000 x1  4 F 2.31
Zn 0.0000 0.0000 0.5000 x1  4 Br 3.27
Br 0.5000 0.5000 0.5000 x1  4 Zn 3.27
F 0.0000 0.5000 0.0000 x2  2 Rb 2.31

***

(6)
Compound: RbZnBrF2
Source: the Alexandria database
Functional: PBE
Structure: optimized geometry

**Calculated volume**: 19.9 Å³ per atom
**Electronic total energy**: -0.127 Ha/atom
**Uncorrected formation energy**: -1.912 eV per atom

a = 4.4380 Å, b = 4.4380 Å, c = 5.0514 Å
α = 90.00°, β = 90.00°, γ = 90.00°
With the nearest neighbours (Å) after each atom.
Space group P4/mmm (No. 123)
One atom of each set of equivalent atoms:
Rb 0.0000 0.0000 0.0000 x1  4 Br 3.14, 8 F 3.36
Zn 0.5000 0.5000 0.5000 x1  4 F 2.22
Br 0.5000 0.5000 0.0000 x1  2 Zn 2.53
F 0.0000 0.5000 0.5000 x2  2 Zn 2.22

***

(7)
Compound: RbZnBrF2
Source: the Alexandria database
Functional: PBE
Structure: optimized geometry

**Calculated volume**: 21.4 Å³ per atom
**Electronic total energy**: -0.131 Ha/atom
**Uncorrected formation energy**: -2.045 eV per atom

a = 4.0725 Å, b = 13.3763 Å, c = 7.8743 Å
α = 90.00°, β = 90.00°, γ = 90.00°
With the nearest neighbours (Å) after each atom.
Space group Cmcm (No. 63)
One atom of each set of equivalent atoms:
Rb 0.0000 0.2294 0.2500 x4  6 F 2.89-2.90
Zn 0.0000 0.5000 0.0000 x4  2 F 1.87
Br 0.0000 0.0343 0.7500 x4  4 Zn 2.87
F 0.0000 0.3621 0.5408 x8  1 Zn 1.87

***

(8)
Compound: Rb2ZnBrF
Source: the Alexandria database
Functional: PBE
Structure: optimized geometry

**Calculated volume**: 52.3 Å³ per atom
**Electronic total energy**: -0.080 Ha/atom
**Uncorrected formation energy**: -0.836 eV per atom

a = 6.3650 Å, b = 6.3650 Å, c = 6.4561 Å
α = 90.00°, β = 90.00°, γ = 90.00°
With the nearest neighbours (Å) after each atom.
Space group P4/mmm (No. 123)
One atom of each set of equivalent atoms:
Rb 0.0000 0.5000 0.0000 x2  2 Br 3.18
Zn 0.0000 0.0000 0.5000 x1  4 F 4.50, 8 Rb 4.53
Br 0.5000 0.5000 0.0000 x1  4 Rb 3.18, 2 F 3.23
F 0.5000 0.5000 0.5000 x1  2 Br 3.23

***

(9)
Compound: RbZn2BrF
Source: the Alexandria database
Functional: PBE
Structure: optimized geometry

**Calculated volume**: 28.9 Å³ per atom
**Electronic total energy**: -0.081 Ha/atom
**Uncorrected formation energy**: -0.798 eV per atom

a = 4.6856 Å, b = 4.6856 Å, c = 6.5839 Å
α = 90.00°, β = 90.00°, γ = 90.00°
With the nearest neighbours (Å) after each atom.
Space group P4/mmm (No. 123)
One atom of each set of equivalent atoms:
Rb 0.0000 0.0000 0.0000 x1  2 F 3.29, 4 Br 3.31
Zn 0.0000 0.5000 0.5000 x2  2 F 2.34
Br 0.5000 0.5000 0.0000 x1  4 Rb 3.31
F 0.0000 0.0000 0.5000 x1  4 Zn 2.34

***

(10)
Compound: RbZrBrF2
Source: the Alexandria database
Functional: PBE
Structure: optimized geometry

**Calculated volume**: 32.9 Å³ per atom
**Electronic total energy**: -0.103 Ha/atom
**Uncorrected formation energy**: 0.171 eV per atom

a = 5.3585 Å, b = 5.3585 Å, c = 5.7208 Å
α = 90.00°, β = 90.00°, γ = 90.00°
With the nearest neighbours (Å) after each atom.
Space group P4/mmm (No. 123)
One atom of each set of equivalent atoms:
Rb 0.0000 0.0000 0.0000 x1  2 Br 2.86
Zr 0.5000 0.5000 0.0000 x1  4 Rb 3.79, 8 F 3.92
Br 0.0000 0.0000 0.5000 x1  4 F 2.68, 2 Rb 2.86
F 0.0000 0.5000 0.5000 x2  2 Br 2.68

***

(11)
Compound: RbZrBr2F
Source: the Alexandria database
Functional: PBE
Structure: optimized geometry

**Calculated volume**: 45.2 Å³ per atom
**Electronic total energy**: -0.092 Ha/atom
**Uncorrected formation energy**: 0.442 eV per atom

a = 5.9604 Å, b = 5.9604 Å, c = 6.3586 Å
α = 90.00°, β = 90.00°, γ = 90.00°
With the nearest neighbours (Å) after each atom.
Space group P4/mmm (No. 123)
One atom of each set of equivalent atoms:
Rb 0.0000 0.0000 0.0000 x1  4 Br 2.98, 2 Zr 3.18
Zr 0.0000 0.0000 0.5000 x1  2 Rb 3.18
Br 0.0000 0.5000 0.0000 x2  2 Rb 2.98
F 0.5000 0.5000 0.5000 x1  4 Zr 4.21, 8 Br 4.36

***

(12)
Compound: Rb2ZrBrF6
Source: the Alexandria database
Functional: PBE
Structure: optimized geometry

**Calculated volume**: 24.7 Å³ per atom
**Electronic total energy**: -0.189 Ha/atom
**Uncorrected formation energy**: -2.807 eV per atom

a = 6.9107 Å, b = 6.9107 Å, c = 10.3368 Å
α = 90.00°, β = 90.00°, γ = 90.00°
With the nearest neighbours (Å) after each atom.
Space group I4/mmm (No. 139)
One atom of each set of equivalent atoms:
Rb 0.0000 0.5000 0.2500 x4  12 F 3.50-3.58
Zr 0.0000 0.0000 0.0000 x2  6 F 2.04
Br 0.0000 0.0000 0.5000 x2  6 F 2.85-3.13
F 0.0000 0.0000 0.1969 x4  1 Zr 2.04
F 0.2083 0.2083 0.0000 x8  1 Zr 2.04

***

(13)
Compound: Rb2ZrBr6F
Source: the Alexandria database
Functional: PBE
Structure: optimized geometry

**Calculated volume**: 34.1 Å³ per atom
**Electronic total energy**: -0.134 Ha/atom
**Uncorrected formation energy**: -1.396 eV per atom

a = 7.6198 Å, b = 7.6198 Å, c = 11.7421 Å
α = 90.00°, β = 90.00°, γ = 90.00°
With the nearest neighbours (Å) after each atom.
Space group I4/mmm (No. 139)
One atom of each set of equivalent atoms:
Rb 0.0000 0.5000 0.2500 x4  12 Br 3.82-3.98
Zr 0.0000 0.0000 0.0000 x2  6 Br 2.65
Br 0.0000 0.0000 0.2260 x4  1 Zr 2.65
Br 0.2457 0.2457 0.0000 x8  1 Zr 2.65, 1 F 2.74
F 0.0000 0.0000 0.5000 x2  4 Br 2.74

***

(14)
Compound: ReBr2F
Source: the Alexandria database
Functional: PBE
Structure: optimized geometry

**Calculated volume**: 19.3 Å³ per atom
**Electronic total energy**: -0.156 Ha/atom
**Uncorrected formation energy**: 0.160 eV per atom

a = 3.2913 Å, b = 3.2913 Å, c = 24.7199 Å
α = 90.00°, β = 90.00°, γ = 120.00°
With the nearest neighbours (Å) after each atom.
Space group R-3m (No. 166, hexagonal axes)
One atom of each set of equivalent atoms:
Re 0.0000 0.0000 0.0000 x3  6 Br 2.62
Br 0.0000 0.0000 0.4063 x6  1 F 2.32
F 0.0000 0.0000 0.5000 x3  2 Br 2.32

***

(15)
Compound: ReBr3F
Source: the Alexandria database
Functional: PBE
Structure: optimized geometry

**Calculated volume**: 24.5 Å³ per atom
**Electronic total energy**: -0.135 Ha/atom
**Uncorrected formation energy**: 0.206 eV per atom

a = 4.9687 Å, b = 4.9687 Å, c = 4.9687 Å
α = 90.00°, β = 90.00°, γ = 90.00°
With the nearest neighbours (Å) after each atom.
Space group Pm-3m (No. 221)
One atom of each set of equivalent atoms:
Re 0.0000 0.0000 0.0000 x1  6 Br 2.48
Br 0.0000 0.0000 0.5000 x3  2 Re 2.48
F 0.5000 0.5000 0.5000 x1  12 Br 3.51

***

(16)
Compound: ReBrF2
Source: the Alexandria database
Functional: PBE
Structure: optimized geometry

**Calculated volume**: 19.2 Å³ per atom
**Electronic total energy**: -0.175 Ha/atom
**Uncorrected formation energy**: -0.292 eV per atom

a = 4.7502 Å, b = 4.7502 Å, c = 13.5992 Å
α = 90.00°, β = 90.00°, γ = 90.00°
With the nearest neighbours (Å) after each atom.
Space group I4_1/amd (No. 141, origin choice 2)
One atom of each set of equivalent atoms:
Re 0.0000 0.2500 0.3750 x4  4 F 2.07
Br 0.0000 0.2500 0.8750 x4  8 F 3.15, 4 Re 3.36
F 0.0000 0.0000 0.5000 x8  2 Re 2.07

***

(17)
Compound: Re3BrF
Source: the Alexandria database
Functional: PBE
Structure: optimized geometry

**Calculated volume**: 16.3 Å³ per atom
**Electronic total energy**: -0.220 Ha/atom
**Uncorrected formation energy**: 2.189 eV per atom

a = 4.3340 Å, b = 4.3340 Å, c = 4.3340 Å
α = 90.00°, β = 90.00°, γ = 90.00°
With the nearest neighbours (Å) after each atom.
Space group Pm-3m (No. 221)
One atom of each set of equivalent atoms:
Re 0.0000 0.0000 0.5000 x3  2 F 2.17
Br 0.5000 0.5000 0.5000 x1  12 Re 3.06
F 0.0000 0.0000 0.0000 x1  6 Re 2.17

***

(18)
Compound: ReBr3F
Source: the Alexandria database
Functional: PBE
Structure: optimized geometry

**Calculated volume**: 24.2 Å³ per atom
**Electronic total energy**: -0.098 Ha/atom
**Uncorrected formation energy**: 1.212 eV per atom

a = 4.9469 Å, b = 4.9469 Å, c = 4.9469 Å
α = 90.00°, β = 90.00°, γ = 90.00°
With the nearest neighbours (Å) after each atom.
Space group Pm-3m (No. 221)
One atom of each set of equivalent atoms:
Re 0.0000 0.0000 0.0000 x1  12 Br 3.50
Br 0.0000 0.5000 0.5000 x3  2 F 2.47
F 0.5000 0.5000 0.5000 x1  6 Br 2.47

***

(19)
Compound: ReBr2F
Source: the Alexandria database
Functional: PBE
Structure: optimized geometry

**Calculated volume**: 15.4 Å³ per atom
**Electronic total energy**: -0.151 Ha/atom
**Uncorrected formation energy**: 0.309 eV per atom

a = 6.2659 Å, b = 6.2659 Å, c = 6.2659 Å
α = 90.00°, β = 90.00°, γ = 90.00°
With the nearest neighbours (Å) after each atom.
Space group Fm-3m (No. 225)
One atom of each set of equivalent atoms:
Re 0.0000 0.0000 0.0000 x4  8 Br 2.71
Br 0.2500 0.2500 0.2500 x8  4 Re 2.71, 4 F 2.71
F 0.0000 0.0000 0.5000 x4  8 Br 2.71

***

(20)
Compound: ReBr2F
Source: the Alexandria database
Functional: PBE
Structure: optimized geometry

**Calculated volume**: 23.2 Å³ per atom
**Electronic total energy**: -0.154 Ha/atom
**Uncorrected formation energy**: 0.217 eV per atom

a = 6.4958 Å, b = 6.4958 Å, c = 8.7881 Å
α = 90.00°, β = 90.00°, γ = 90.00°
With the nearest neighbours (Å) after each atom.
Space group I-42d (No. 122)
One atom of each set of equivalent atoms:
Re 0.0000 0.0000 0.0000 x4  4 Br 2.39
Br 0.2114 0.2500 0.1250 x8  2 Re 2.39
F 0.0000 0.0000 0.5000 x4  4 Br 2.71

***

(21)
Compound: ReBrF6
Source: the Alexandria database
Functional: PBE
Structure: optimized geometry

**Calculated volume**: 19.4 Å³ per atom
**Electronic total energy**: -0.180 Ha/atom
**Uncorrected formation energy**: -1.721 eV per atom

a = 9.4143 Å, b = 6.2199 Å, c = 5.8638 Å
α = 90.00°, β = 115.58°, γ = 90.00°
With the nearest neighbours (Å) after each atom.
Space group C2/m (No. 12)
One atom of each set of equivalent atoms:
Re 0.0000 0.0000 0.0000 x2  6 F 1.86
Br 0.0000 0.5000 0.5000 x2  12 F 3.18-3.45
F 0.0947 0.0000 0.7794 x4  1 Re 1.86
F 0.1392 0.2109 0.1974 x8  1 Re 1.86

***

(22)
Compound: ReBr3F
Source: the Alexandria database
Functional: PBE
Structure: optimized geometry

**Calculated volume**: 36.7 Å³ per atom
**Electronic total energy**: -0.162 Ha/atom
**Uncorrected formation energy**: -0.538 eV per atom

a = 6.5675 Å, b = 10.0162 Å, c = 11.7738 Å
α = 90.00°, β = 108.53°, γ = 90.00°
With the nearest neighbours (Å) after each atom.
Space group P2/c (No. 13)
One atom of each set of equivalent atoms:
Re 0.0623 0.2478 0.1651 x4  1 F 1.87
Br 0.0660 0.2149 0.9502 x4  1 Re 2.56
Br 0.1974 0.4679 0.1734 x4  1 Re 2.37
Br 0.3248 0.2503 0.4372 x4  1 Re 2.44
F 0.2147 0.0875 0.2014 x4  1 Re 1.87

***

(23)
Compound: ReBrF2
Source: the Alexandria database
Functional: PBE
Structure: optimized geometry

**Calculated volume**: 18.8 Å³ per atom
**Electronic total energy**: -0.193 Ha/atom
**Uncorrected formation energy**: -0.780 eV per atom

a = 2.8548 Å, b = 2.8548 Å, c = 32.0402 Å
α = 90.00°, β = 90.00°, γ = 120.00°
With the nearest neighbours (Å) after each atom.
Space group R-3m (No. 166, hexagonal axes)
One atom of each set of equivalent atoms:
Re 0.0000 0.0000 0.0000 x3  2 F 1.87
Br 0.0000 0.0000 0.5000 x3  6 Br 2.85
F 0.0000 0.0000 0.0583 x6  1 Re 1.87

***

(24)
Compound: ReBrF2
Source: the Alexandria database
Functional: PBE
Structure: optimized geometry

**Calculated volume**: 14.6 Å³ per atom
**Electronic total energy**: -0.154 Ha/atom
**Uncorrected formation energy**: 0.266 eV per atom

a = 6.1603 Å, b = 6.1603 Å, c = 6.1603 Å
α = 90.00°, β = 90.00°, γ = 90.00°
With the nearest neighbours (Å) after each atom.
Space group Fm-3m (No. 225)
One atom of each set of equivalent atoms:
Re 0.0000 0.0000 0.0000 x4  8 F 2.67
Br 0.0000 0.0000 0.5000 x4  8 F 2.67
F 0.2500 0.2500 0.2500 x8  4 Re 2.67, 4 Br 2.67

***

(25)
Compound: ReSeBr2F
Source: the Alexandria database
Functional: PBE
Structure: optimized geometry

**Calculated volume**: 24.3 Å³ per atom
**Electronic total energy**: -0.149 Ha/atom
**Uncorrected formation energy**: 0.182 eV per atom

a = 5.0634 Å, b = 5.0634 Å, c = 4.7341 Å
α = 90.00°, β = 90.00°, γ = 90.00°
With the nearest neighbours (Å) after each atom.
Space group P4/mmm (No. 123)
One atom of each set of equivalent atoms:
Re 0.0000 0.0000 0.0000 x1  2 Se 2.37, 4 Br 2.53
Se 0.0000 0.0000 0.5000 x1  2 Re 2.37
Br 0.0000 0.5000 0.0000 x2  2 Re 2.53
F 0.5000 0.5000 0.5000 x1  8 Br 3.47, 4 Se 3.58